Entry 1:
Compound: CsH4I2N
Source: Alexandria via LeMat-Bulk
Functional: PBE
Structure: optimized geometry

Output
- Calculated volume: 27.40 A^3/atom
- Total energy: -3.9355 eV/atom

Cell lengths 10.6690, 7.5599, 9.3435 Å; angles 66.24, 55.18, 45.12 degrees
Positions (direct):
I1 0.0127 0.5000 0.9746
Cs1 0.7500 0.5000 0.5000
H1 0.3237 0.3880 0.5771
H2 0.2888 0.6120 0.4229
H3 0.2883 0.3880 0.4229
N1 0.2500 0.5000 0.5000
I2 0.2627 0.0000 0.4746
H4 0.0992 0.6120 0.5771
H5 0.4263 0.1120 0.9229
H6 0.6508 0.8880 0.9229
I3 0.7373 0.0000 0.5254
Cs2 0.0000 0.0000 0.0000
N2 0.5000 0.0000 0.0000
H7 0.4617 0.1120 0.0771
I4 0.4873 0.5000 0.0254
H8 0.4612 0.8880 0.0771



Entry 2:
Compound: CsH6I2N2
Source: Alexandria via LeMat-Bulk
Functional: PBE
Structure: optimized geometry

Output
- Calculated volume: 23.42 A^3/atom
- Total energy: -4.2023 eV/atom

Cell lengths 8.7269, 7.0887, 6.7585 Å; angles 115.16, 97.83, 44.81 degrees
Last column: magnetic moment on the atom in μB.
Positions (direct):
H1 0.2229 0.8076 0.7600  0.00
I1 0.8955 0.4385 0.7952  0.32
H2 0.7430 0.2950 0.0485  0.00
N1 0.6623 0.3654 0.1995  0.01
H3 0.5390 0.3753 0.1678  0.00
N2 0.3377 0.6346 0.8005  0.01
H4 0.4610 0.6247 0.8322  0.00
Cs1 0.5000 0.0000 0.5000  0.00
I2 0.1045 0.5615 0.2048  0.32
H5 0.7771 0.1924 0.2400  0.00
H6 0.2570 0.7050 0.9515  0.00



Entry 3:
Compound: CsH6I2N
Source: Alexandria via LeMat-Bulk
Functional: PBE
Structure: optimized geometry

Output
- Calculated volume: 22.81 A^3/atom
- Total energy: -3.5137 eV/atom

Cell lengths 11.0803, 11.0803, 11.0803 Å; angles 25.87, 25.87, 25.87 degrees
Positions (direct):
H1 0.9220 0.2454 0.9223
H2 0.5546 0.5546 0.7497
N1 0.0160 0.0160 0.0160
H3 0.5546 0.7497 0.5546
H4 0.7497 0.5546 0.5546
H5 0.2454 0.9223 0.9220
I1 0.2667 0.2667 0.2667
I2 0.7670 0.7670 0.7670
H6 0.9223 0.9220 0.2454
Cs1 0.5021 0.5021 0.5021



Entry 4:
Compound: CsHIN2
Source: Alexandria via LeMat-Bulk
Functional: PBE
Structure: optimized geometry

Output
- Excess energy over the best structure of this formula in the dataset: 449.0 meV per atom
- Calculated volume: 62.37 A^3/atom

Cell lengths 6.5529, 6.5529, 7.2620 Å; angles 90.00, 90.00, 90.00 degrees
Last column: magnetic moment on the atom in μB.
Positions (direct):
Cs1 0.0000 0.0000 0.0000  0.04
N1 0.0000 0.5000 0.0000  1.85
I1 0.0000 0.0000 0.5000  0.21
H1 0.5000 0.5000 0.5000  0.38
N2 0.5000 0.0000 0.0000  1.85



Entry 5:
Compound: CsHIO2
Source: Alexandria via LeMat-Bulk
Functional: PBE
Structure: optimized geometry

Output
- Calculated volume: 30.35 A^3/atom
- Total energy: -2.2161 eV/atom

Cell lengths 4.2834, 4.2834, 8.2702 Å; angles 90.00, 90.00, 90.00 degrees
Last column: magnetic moment on the atom in μB.
Positions (direct):
O1 0.5000 0.0000 0.0000  0.00
I1 0.0000 0.0000 0.5000  -0.24
O2 0.0000 0.5000 0.0000  0.00
H1 0.5000 0.5000 0.5000  0.19
Cs1 0.0000 0.0000 0.0000  0.00



Entry 6:
Compound: Cs2HIO
Source: Alexandria via LeMat-Bulk
Functional: PBE
Structure: optimized geometry

Output
- Calculated volume: 38.49 A^3/atom
- Total energy: -3.6916 eV/atom

Cell lengths 8.5784, 8.5784, 8.0095 Å; angles 122.38, 122.38, 90.00 degrees
Positions (direct):
I1 0.2656 0.7656 0.5311
Cs1 0.7631 0.2631 0.0262
Cs2 0.2631 0.2631 0.0262
I2 0.7656 0.2656 0.5311
H1 0.6509 0.6509 0.3018
Cs3 0.2631 0.7631 0.0262
H2 0.1509 0.1509 0.3018
O1 0.0576 0.0576 0.1152
Cs4 0.7631 0.7631 0.0262
O2 0.5576 0.5576 0.1152



Entry 7:
Compound: Cs2H2I2O
Source: Alexandria via LeMat-Bulk
Functional: PBE
Structure: optimized geometry

Output
- Calculated volume: 33.80 A^3/atom
- Total energy: -3.4775 eV/atom

Cell lengths 4.7257, 7.4757, 7.4772 Å; angles 79.15, 71.58, 71.57 degrees
Positions (direct):
O1 0.0000 0.0000 0.0000
H1 0.9085 0.0920 0.0910
H2 0.0915 0.9080 0.9090
I1 0.2170 0.2839 0.2821
Cs1 0.4993 0.7386 0.2627
I2 0.7830 0.7161 0.7179
Cs2 0.5007 0.2614 0.7373



Entry 8:
Compound: CsH2IO4
Source: Alexandria via LeMat-Bulk
Functional: PBE
Structure: optimized geometry

Output
- Calculated volume: 18.29 A^3/atom
- Total energy: -4.2634 eV/atom

Cell lengths 4.9243, 6.0046, 6.0046 Å; angles 73.57, 65.79, 65.79 degrees
Last column: magnetic moment on the atom in μB.
Positions (direct):
O1 0.0577 0.7362 0.5910  0.15
O2 0.9423 0.4090 0.2638  0.15
H1 0.1509 0.3491 0.3491  0.00
I1 0.5000 0.5000 0.5000  0.17
O3 0.6151 0.5910 0.7362  0.15
O4 0.3849 0.2638 0.4090  0.15
Cs1 0.0000 0.0000 0.0000  0.00
H2 0.8491 0.6509 0.6509  0.00



Entry 9:
Compound: Cs6HI2O
Source: Alexandria via LeMat-Bulk
Functional: PBE
Structure: optimized geometry

Output
- Calculated volume: 51.91 A^3/atom
- Total energy: -2.5692 eV/atom

Cell lengths 7.9336, 8.6918, 8.6918 Å; angles 120.00, 90.00, 90.00 degrees
Positions (direct):
Cs1 0.7759 0.1526 0.3053
Cs2 0.2241 0.8474 0.1526
Cs3 0.7759 0.1526 0.8474
O1 0.0000 0.0000 0.0000
I1 0.8531 0.6667 0.3333
Cs4 0.7759 0.6947 0.8474
Cs5 0.2241 0.8474 0.6947
Cs6 0.2241 0.3053 0.1526
I2 0.1469 0.3333 0.6667
H1 0.5000 0.0000 0.0000



Entry 10:
Compound: Cs2PmHI6
Source: Alexandria via LeMat-Bulk
Functional: PBE
Structure: optimized geometry

Output
- Calculated volume: 46.32 A^3/atom
- Total energy: -3.0630 eV/atom

Cell lengths 8.7433, 8.1456, 9.6746 Å; angles 55.78, 54.40, 71.62 degrees
Positions (direct):
I1 0.8242 0.7308 0.9990
H1 0.5000 0.5000 0.0000
Pm1 0.0000 0.0000 0.0000
I2 0.2230 0.2251 0.5514
Cs1 0.2716 0.7719 0.4568
I3 0.1758 0.2692 0.0010
I4 0.6342 0.2609 0.0011
I5 0.3658 0.7391 0.9989
Cs2 0.7284 0.2281 0.5432
I6 0.7770 0.7749 0.4486



Entry 11:
Compound: Cs2PrHI6
Source: Alexandria via LeMat-Bulk
Functional: PBE
Structure: optimized geometry

Output
- Calculated volume: 47.02 A^3/atom
- Total energy: -3.0658 eV/atom

Cell lengths 8.8318, 8.1429, 9.7160 Å; angles 55.96, 54.31, 71.84 degrees
Positions (direct):
I1 0.2258 0.2270 0.5477
Cs1 0.7276 0.2271 0.5447
Cs2 0.2724 0.7729 0.4553
I2 0.7742 0.7730 0.4523
I3 0.8222 0.7286 0.9983
I4 0.3665 0.7380 0.9994
I5 0.6335 0.2620 0.0006
I6 0.1778 0.2714 0.0017
H1 0.5000 0.5000 0.0000
Pr1 0.0000 0.0000 0.0000



Entry 12:
Compound: CsHPt2I
Source: Alexandria via LeMat-Bulk
Functional: PBE
Structure: optimized geometry

Output
- Calculated volume: 24.94 A^3/atom
- Total energy: -2.9842 eV/atom

Cell lengths 5.1904, 4.6296, 5.1904 Å; angles 90.00, 90.00, 90.00 degrees
Positions (direct):
Pt1 0.0000 0.0000 0.5000
Cs1 0.5000 0.5000 0.5000
I1 0.0000 0.0000 0.0000
H1 0.0000 0.5000 0.0000
Pt2 0.5000 0.0000 0.0000



> Look up the calculated volume of the fifth one.

30.35 A^3/atom